Compound: NdAg4Au4
Source: Alexandria via LeMat-Bulk
Functional: PBE-GGA
Structure: optimized geometry

Structure (extended XYZ):
```
18
Lattice="-0.2314 3.1990 3.0941 -3.2916 -5.8582 5.8107 8.2383 -1.9837 2.6669" Properties=species:S:1:pos:R:3 pbc="T T T"
Nd 0.0000 0.0000 0.0000
Nd 2.3577 -2.3215 5.7858
Ag 5.1745 -2.9927 6.7055
Ag -2.1660 -3.8474 3.8308
Ag -0.4602 -1.6353 4.8806
Ag 1.8986 -3.9717 10.6521
Ag 1.2320 -4.3323 7.7658
Ag 2.5864 2.5128 3.9992
Ag 7.1117 -3.9796 4.6612
Ag 3.4844 -0.3255 3.7915
Au -1.4382 -3.5965 6.8203
Au 6.1535 -1.0464 4.7514
Au 3.3190 -5.2603 5.6868
Au 4.2113 -0.0597 6.7954
Au 0.2727 -1.3843 7.8704
Au 0.7299 0.2602 2.9949
Au 3.9855 -4.9032 8.5768
Au 1.6277 -2.5816 2.7908
```

Results
V ... 19.54 Å³/atom
Formation energy ... -0.193 eV per atom
Crystal system ... tetragonal
ρ ... 12.876 g/cm3

***

Compound: ThIn2Au
Source: Alexandria via LeMat-Bulk
Functional: PBE-GGA
Structure: optimized geometry

Structure (extended XYZ):
```
4
Lattice="4.7384 0.0000 0.0000 0.0000 4.6033 0.0000 0.0000 0.0000 4.6033" Properties=species:S:1:pos:R:3 pbc="T T T"
Au 2.3692 0.0000 0.0000
Th 2.3692 2.3016 2.3016
In 0.0000 0.0000 2.3016
In 0.0000 2.3016 0.0000
```

Results
V ... 25.10 Å³/atom
Formation energy ... -0.367 eV per atom
E above lowest polymorph ... 0.0 meV/atom
Crystal system ... tetragonal
ρ ... 10.892 g/cm3

***

Compound: Bi2PdAuO
Source: Alexandria via LeMat-Bulk
Functional: PBE-GGA
Structure: optimized geometry

Structure (extended XYZ):
```
5
Lattice="-0.4845 -3.7044 3.1304 -1.5598 -2.5790 -3.2933 4.5411 -1.4512 -1.0145" Properties=species:S:1:pos:R:3 pbc="T T T"
O 0.0000 0.0000 0.0000
Au -0.7799 -1.2895 -1.6466
Bi 2.2706 -0.7256 -0.5072
Bi -0.2422 -1.8522 1.5652
Pd 1.2484 -3.8673 -0.5886
```

Results
V ... 21.21 Å³/atom
Crystal system ... tetragonal
Formation energy without anion corrections ... 0.04 eV per atom
ρ ... 11.545 g/cm3

***

Compound: Pr3TlCd8
Source: Alexandria via LeMat-Bulk
Functional: PBE-GGA
Structure: optimized geometry

Structure (extended XYZ):
```
12
Lattice="-5.7112 -0.1221 2.0263 -2.3583 -5.1708 2.1070 0.4446 0.4605 10.3459" Properties=species:S:1:pos:R:3 pbc="T T T"
Pr -2.6596 -1.5979 10.5383
Pr -8.0167 -5.2555 4.2843
Pr -3.8374 -2.4339 7.1683
Tl -6.8827 -4.4505 7.5290
Cd -6.3161 -2.2993 4.7243
Cd -4.3795 -4.5862 9.9978
Cd -3.4596 -2.2382 3.7107
Cd -7.2638 -4.6478 11.0212
Cd -1.3174 -0.7901 5.3047
Cd -5.1375 -3.2118 12.5222
Cd -4.6391 -4.8245 4.7646
Cd -6.0728 -2.0364 9.9571
```

Results
V ... 25.87 Å³/atom
Formation energy ... -0.238 eV per atom
Crystal system ... trigonal
ρ ... 8.165 g/cm3

***

Compound: Pr3MgAg4
Source: Alexandria via LeMat-Bulk
Functional: PBE-GGA
Structure: optimized geometry

Structure (extended XYZ):
```
16
Lattice="5.1960 0.0000 0.0000 0.0000 7.4541 0.0000 0.0000 0.0000 10.3935" Properties=species:S:1:pos:R:3 pbc="T T T"
Pr 0.0000 0.0000 0.0000
Pr 0.0000 0.0000 5.1968
Pr 2.5981 0.0000 7.7951
Pr 2.5978 0.0000 2.5984
Pr 2.5973 3.7270 7.7951
Pr 2.5987 3.7270 2.5984
Mg 0.0000 3.7270 0.0000
Mg 0.0000 3.7270 5.1968
Ag 2.5980 5.4797 0.0000
Ag 2.5980 5.4797 5.1968
Ag 2.5980 1.9744 0.0000
Ag 2.5980 1.9744 5.1968
Ag 5.1957 5.4828 7.7951
Ag 0.0003 5.4828 2.5984
Ag 0.0003 1.9713 2.5984
Ag 5.1957 1.9713 7.7951
```

Results
V ... 25.16 Å³/atom
Formation energy ... -0.226 eV per atom
Crystal system ... tetragonal
ρ ... 7.248 g/cm3

***

Compound: Ca3LaNi8
Source: Alexandria via LeMat-Bulk
Functional: PBE-GGA
Structure: optimized geometry

Structure (extended XYZ):
```
12
Lattice="4.8984 0.0000 1.4787 2.2260 4.3634 1.4787 -0.0035 -0.0021 8.8642" Properties=species:S:1:pos:R:3 pbc="T T T"
Ca 2.6618 1.6302 8.8878
Ca 0.0159 0.0098 8.7999
Ca 3.5397 2.1679 5.9795
La 6.2386 3.8209 5.8916
Ni 5.5616 1.9135 3.6865
Ni 4.2276 4.0877 8.1317
Ni 3.1243 1.9135 2.9507
Ni 6.6743 4.0877 8.8703
Ni 1.3299 0.8145 4.4473
Ni 4.8982 2.9999 10.3321
Ni 4.2319 4.0846 3.6865
Ni 5.5624 1.9082 8.1317
```

Results
V ... 15.79 Å³/atom
Formation energy ... -0.229 eV per atom
Crystal system ... trigonal
ρ ... 6.386 g/cm3

***

Compound: BaZr3Se6
Source: Alexandria via LeMat-Bulk
Functional: PBE-GGA
Structure: optimized geometry

Structure (extended XYZ):
```
20
Lattice="-1.1433 -3.6387 -0.7442 10.6455 -2.2494 -5.3569 0.8887 -2.6271 11.4793" Properties=species:S:1:pos:R:3 pbc="T T T"
Ba 6.7269 -6.5133 6.2924
Ba 3.6640 -2.0018 -0.9142
Zr 3.5407 -4.8363 2.9879
Zr 6.8502 -3.6788 2.3902
Zr 7.0391 -5.1110 -1.0432
Zr 3.3518 -3.4041 6.4213
Zr 10.1322 -7.0884 3.8729
Zr 0.2588 -1.4267 1.5053
Se 1.5555 -4.5924 4.8452
Se 8.8354 -3.9227 0.5329
Se 0.6057 -3.1773 -0.6141
Se 9.7852 -5.3378 5.9923
Se 7.7416 -6.1817 3.1124
Se 2.6493 -2.3334 2.2658
Se 4.9778 -4.8091 0.6475
Se 5.4132 -3.7060 4.7307
Se 3.7912 -5.8603 7.6102
Se 6.5997 -2.6548 -2.2321
Se 9.2597 -5.4574 -2.7610
Se 1.1312 -3.0577 8.1392
```

Results
V ... 26.35 Å³/atom
Crystal system ... monoclinic
Formation energy without anion corrections ... -1.45 eV per atom
ρ ... 5.576 g/cm3

***

Compound: SbP2Rh2
Source: Alexandria via LeMat-Bulk
Functional: PBE-GGA
Structure: optimized geometry

Structure (extended XYZ):
```
5
Lattice="3.8337 0.0000 0.0000 0.0000 3.8337 0.0000 1.9169 1.9169 5.8989" Properties=species:S:1:pos:R:3 pbc="T T T"
Sb 0.0000 0.0000 0.0000
Rh 1.9169 1.9169 1.5601
Rh 3.8337 3.8337 4.3387
P 3.8337 1.9169 2.9494
P 1.9169 3.8337 2.9494
```

Results
V ... 17.34 Å³/atom
Crystal system ... tetragonal
Formation energy without anion corrections ... -0.19 eV per atom
ρ ... 7.460 g/cm3